# 1
LiTbSiPt | the Alexandria database | PBE-GGA | relaxed; mass density = 9.52 g/cm3; calculated volume = 67.87 Å³/f.u.; E_form (uncorrected) = -0.8082 eV per atom
1.0
0.000 3.237 3.237
3.237 0.000 3.237
3.237 3.237 0.000
Li Tb Si Pt
1 1 1 1
Cartesian
0.000 0.000 0.000
4.856 4.856 4.856
1.619 1.619 1.619
3.237 3.237 3.237

# 2
DyPuPb2O8 | the Alexandria database | PBE-GGA | relaxed; mass density = 8.57 g/cm3; calculated volume = 183.82 Å³/f.u.; E_form (uncorrected) = -1.9793 eV per atom
1.0
3.657 -3.658 0.000
3.657 3.658 0.000
0.000 0.000 6.871
Dy Pu Pb O
1 1 2 8
Cartesian
0.000 0.000 0.000
0.000 0.000 3.435
3.657 0.000 1.719
3.657 0.000 5.151
3.657 2.319 1.871
3.657 2.319 5.000
2.196 0.000 3.435
2.253 0.000 0.000
5.060 0.000 0.000
5.118 0.000 3.435
3.657 -2.319 1.871
3.657 -2.319 5.000

# 3
Ir2RuSe | the Alexandria database | PBE-GGA | relaxed; mass density = 15.59 g/cm3; calculated volume = 60.12 Å³/f.u.; E_form (uncorrected) = 0.3601 eV per atom
1.0
4.639 -1.416 0.000
4.639 1.416 0.000
-1.197 0.000 4.576
Ir Ru Se
2 1 1
Cartesian
1.950 0.000 1.178
6.130 0.000 3.398
-0.599 0.000 2.288
4.639 0.000 0.000

# 4
UTiRh | the Alexandria database | PBE-GGA | relaxed; mass density = 12.32 g/cm3; calculated formation energy = -0.204 eV/atom; calculated volume = 52.39 Å³/f.u.
1.0
2.451 -4.258 0.000
2.451 4.258 0.000
0.000 0.000 5.020
U Ti Rh
2 2 2
Cartesian
0.000 0.000 0.000
0.000 0.000 2.510
2.451 1.415 3.765
2.451 -1.415 1.255
2.451 1.421 1.255
2.451 -1.421 3.765

# 5
K3NpV2S6 | the Alexandria database | PBE-GGA | relaxed; mass density = 3.99 g/cm3; calculated volume = 270.02 Å³/f.u.; E_form (uncorrected) = -1.1694 eV per atom
1.0
3.271 -5.663 0.000
3.271 5.663 0.000
-2.187 0.000 7.288
K Np V S
3 1 2 6
Cartesian
0.000 0.000 0.000
3.271 1.852 0.000
3.271 -1.852 0.000
2.178 0.000 3.644
2.178 3.773 3.644
2.178 -3.773 3.644
1.014 2.015 2.274
-0.151 0.000 5.008
1.014 -2.015 2.274
3.342 2.015 5.014
4.506 0.000 2.280
3.342 -2.015 5.014

# 6
LiYZr | the Alexandria database | PBE-GGA | relaxed; mass density = 4.23 g/cm3; calculated formation energy = 0.100 eV/atom; calculated volume = 73.47 Å³/f.u.
1.0
8.323 -1.700 0.000
8.323 1.700 0.000
-0.537 0.000 5.194
Li Y Zr
2 2 2
Cartesian
1.038 0.000 1.030
15.070 0.000 4.165
6.477 0.000 1.561
9.631 0.000 3.633
4.105 0.000 3.937
12.003 0.000 1.258